A relaxed NpTi2Os crystal. Source: the Alexandria database, functional GGA-PBE.

a b c (Å): 3.046 3.046 7.403
angles (deg): 90.00 90.00 90.00
Element x y z (fractional)
Np (0.500, 0.500, 0.000)
Os (0.500, 0.500, 0.500)
Ti (0.000, 0.000, 0.711)
Ti (0.000, 0.000, 0.289)

Formation energy, eV per atom: -0.15
Polymorph energy (0 for the lowest one), meV/atom: 0
Density of states at the Fermi level, states/eV per cell: 5.96
Symmetry: P4/mmm, No. 123

A relaxed LiBi3S crystal. Source: the Alexandria database, functional GGA-PBE.

a b c (Å): 5.460 5.460 5.460
angles (deg): 90.00 90.00 90.00
Element x y z (fractional)
S (0.000, 0.000, 0.000)
Bi (0.000, 0.500, 0.000)
Bi (0.000, 0.000, 0.500)
Bi (0.500, 0.000, 0.000)
Li (0.500, 0.500, 0.500)

Polymorph energy (0 for the lowest one), meV/atom: 0
Density of states at the Fermi level, states/eV per cell: 4.91
Symmetry: Pm-3m, No. 221

Copy entry 1 word for word.
A relaxed NpTi2Os crystal. Source: the Alexandria database, functional GGA-PBE.

a b c (Å): 3.046 3.046 7.403
angles (deg): 90.00 90.00 90.00
Element x y z (fractional)
Np (0.500, 0.500, 0.000)
Os (0.500, 0.500, 0.500)
Ti (0.000, 0.000, 0.711)
Ti (0.000, 0.000, 0.289)

Formation energy, eV per atom: -0.15
Polymorph energy (0 for the lowest one), meV/atom: 0
Density of states at the Fermi level, states/eV per cell: 5.96
Symmetry: P4/mmm, No. 123

- What is the density of states at the Fermi level in the second record?
  4.91 states/eV per cell

- What is the polymorph energy (0 for the lowest one) in the first record?
  0 meV/atom